# 1
Tl3Bi2Br9 | PBE | optimized geometry

Calculated values
- Raw total energy: -2.909 eV per atom
- Spin magnetization: 0.0 μB per cell
- Energy relative to the elements, uncorrected: -10.8 eV/f.u.

Lattice parameters (Å, degrees): 10.437 10.437 10.437 83.26 83.26 83.26
Positions (direct):
Tl (0.470, 0.750, 0.030)
Tl (0.250, 0.970, 0.530)
Tl (0.970, 0.530, 0.250)
Tl (0.030, 0.470, 0.750)
Tl (0.750, 0.030, 0.470)
Tl (0.530, 0.250, 0.970)
Bi (0.148, 0.148, 0.148)
Bi (0.648, 0.648, 0.648)
Bi (0.852, 0.852, 0.852)
Bi (0.352, 0.352, 0.352)
Br (0.723, 0.936, 0.079)
Br (0.064, 0.921, 0.277)
Br (0.250, 0.413, 0.087)
Br (0.564, 0.777, 0.421)
Br (0.587, 0.913, 0.750)
Br (0.913, 0.750, 0.587)
Br (0.223, 0.579, 0.436)
Br (0.579, 0.436, 0.223)
Br (0.921, 0.277, 0.064)
Br (0.079, 0.723, 0.936)
Br (0.421, 0.564, 0.777)
Br (0.413, 0.087, 0.250)
Br (0.777, 0.421, 0.564)
Br (0.087, 0.250, 0.413)
Br (0.436, 0.223, 0.579)
Br (0.750, 0.587, 0.913)
Br (0.936, 0.079, 0.723)
Br (0.277, 0.064, 0.921)


# 2
NiSCl2 | PBE | optimized geometry

Calculated values
- Raw total energy: -2.546 eV per atom
- Energy above the most stable polymorph in this dataset: 0.695 eV per atom
- Spin magnetization: 0.8 μB per cell
- Energy relative to the elements, uncorrected: 3.4 eV/f.u.

Lattice parameters (Å, degrees): 4.638 4.638 4.638 60.00 60.00 60.00
Site moments in Bohr magnetons follow the coordinates.
Positions (direct):
Ni (0.500, 0.500, 0.500)  -0.71
S (0.000, 0.000, 0.000)  0.85
Cl (0.250, 0.250, 0.250)  0.12
Cl (0.750, 0.750, 0.750)  0.12


# 3
KHf2Pt | PBE | optimized geometry

Calculated values
- Energy of formation: 381 meV/atom
- Raw total energy: -6.380 eV per atom
- Energy above the most stable polymorph in this dataset: 0.000 eV per atom
- Spin magnetization: 0.0 μB per cell

Lattice parameters (Å, degrees): 4.872 4.872 4.872 60.00 60.00 60.00
Positions (direct):
K (0.000, 0.000, 0.000)
Hf (0.250, 0.250, 0.250)
Hf (0.750, 0.750, 0.750)
Pt (0.500, 0.500, 0.500)


# 4
NaHf4Te8 | PBE | optimized geometry

Calculated values
- Raw total energy: -5.863 eV per atom
- Energy above the most stable polymorph in this dataset: 0.090 eV per atom
- Spin magnetization: 0.0 μB per cell
- Energy relative to the elements, uncorrected: -10.0 eV/f.u.

Lattice parameters (Å, degrees): 8.460 8.460 8.460 60.00 60.00 60.00
Positions (direct):
Na (0.750, 0.750, 0.750)
Hf (0.893, 0.369, 0.369)
Hf (0.369, 0.893, 0.369)
Hf (0.369, 0.369, 0.893)
Hf (0.369, 0.369, 0.369)
Te (0.622, 0.126, 0.126)
Te (0.126, 0.622, 0.126)
Te (0.126, 0.126, 0.622)
Te (0.126, 0.126, 0.126)
Te (0.161, 0.613, 0.613)
Te (0.613, 0.161, 0.613)
Te (0.613, 0.613, 0.161)
Te (0.613, 0.613, 0.613)


# 5
Tm2TcRh | PBE | optimized geometry

Calculated values
- Energy of formation: -430 meV/atom
- Raw total energy: -7.095 eV per atom
- Spin magnetization: 0.4 μB per cell

Lattice parameters (Å, degrees): 3.376 3.376 6.802 90.00 90.00 90.00
Site moments in Bohr magnetons follow the coordinates.
Positions (direct):
Tm (0.000, 0.000, 0.749)  0.01
Tm (0.000, 0.000, 0.251)  0.01
Rh (0.500, 0.500, 0.000)  0.01
Tc (0.500, 0.500, 0.500)  0.32


# 6
ZnCuNi | PBE | optimized geometry

Calculated values
- Energy of formation: -109 meV/atom
- Raw total energy: -3.826 eV per atom
- Energy above the most stable polymorph in this dataset: 0.012 eV per atom
- Spin magnetization: 0.0 μB per cell

Lattice parameters (Å, degrees): 5.395 5.395 2.683 75.60 75.60 28.80
Positions (direct):
Ni (0.333, 0.333, 0.667)
Zn (0.671, 0.671, 0.329)
Cu (0.995, 0.995, 0.005)


# 7
PuThMo | PBE | optimized geometry

Calculated values
- Energy of formation: 229 meV/atom
- Raw total energy: -10.632 eV per atom
- Energy above the most stable polymorph in this dataset: 0.000 eV per atom
- Spin magnetization: 4.4 μB per cell

Lattice parameters (Å, degrees): 3.537 3.537 6.023 107.07 107.07 90.00
Site moments in Bohr magnetons follow the coordinates.
Positions (direct):
Mo (0.675, 0.675, 0.350)  -0.65
Th (0.005, 0.005, 0.011)  0.05
Pu (0.320, 0.320, 0.639)  4.86


# 8
NaDyZnF6 | PBE | optimized geometry

Calculated values
- Raw total energy: -5.231 eV per atom
- Spin magnetization: 0.0 μB per cell
- Energy relative to the elements, uncorrected: -28.7 eV/f.u.

Lattice parameters (Å, degrees): 5.675 5.675 9.610 90.00 90.00 120.00
Positions (direct):
Na (0.000, 0.000, 0.000)
Na (0.000, 0.000, 0.500)
Dy (0.333, 0.667, 0.250)
Dy (0.667, 0.333, 0.750)
Zn (0.667, 0.333, 0.250)
Zn (0.333, 0.667, 0.750)
F (0.654, 0.637, 0.136)
F (0.983, 0.346, 0.136)
F (0.346, 0.983, 0.636)
F (0.017, 0.654, 0.864)
F (0.363, 0.346, 0.364)
F (0.983, 0.637, 0.364)
F (0.637, 0.983, 0.864)
F (0.654, 0.017, 0.364)
F (0.017, 0.363, 0.636)
F (0.363, 0.017, 0.136)
F (0.637, 0.654, 0.636)
F (0.346, 0.363, 0.864)


# 9
Tl2GeSbRh | PBE | optimized geometry

Calculated values
- Raw total energy: -3.358 eV per atom
- Spin magnetization: 0.0 μB per cell
- Energy relative to the elements, uncorrected: 4.0 eV/f.u.

Lattice parameters (Å, degrees): 5.745 4.913 5.745 90.00 90.00 90.00
Positions (direct):
Sb (0.000, 0.000, 0.000)
Tl (0.000, 0.000, 0.500)
Tl (0.500, 0.000, 0.000)
Rh (0.000, 0.500, 0.000)
Ge (0.500, 0.500, 0.500)


# 10
NaZrMoPd2 | PBE | optimized geometry

Calculated values
- Energy of formation: 1142 meV/atom
- Raw total energy: -5.075 eV per atom
- Spin magnetization: 2.2 μB per cell

Lattice parameters (Å, degrees): 4.490 4.758 4.490 90.00 90.00 90.00
Site moments in Bohr magnetons follow the coordinates.
Positions (direct):
Na (0.000, 0.000, 0.000)  0.05
Mo (0.000, 0.500, 0.000)  1.86
Zr (0.500, 0.500, 0.500)  -0.12
Pd (0.000, 0.000, 0.500)  0.09
Pd (0.500, 0.000, 0.000)  0.05


# 11
KNiW2 | PBE | optimized geometry

Calculated values
- Energy of formation: 958 meV/atom
- Raw total energy: -7.239 eV per atom
- Energy above the most stable polymorph in this dataset: 0.241 eV per atom
- Spin magnetization: 0.0 μB per cell

Lattice parameters (Å, degrees): 4.547 4.547 7.633 87.31 87.31 34.03
Positions (direct):
K (0.506, 0.506, 0.487)
Ni (0.262, 0.262, 0.142)
W (0.994, 0.994, 0.022)
W (0.738, 0.738, 0.849)


# 12
K2CeInSe4 | PBE | optimized geometry

Calculated values
- Raw total energy: -4.330 eV per atom
- Spin magnetization: 1.4 μB per cell
- Energy relative to the elements, uncorrected: -9.8 eV/f.u.

Lattice parameters (Å, degrees): 8.816 8.816 8.804 119.96 119.96 90.52
Site moments in Bohr magnetons follow the coordinates.
Positions (direct):
K (0.500, 0.000, 0.000)  0.00
K (0.500, 0.000, 0.500)  0.00
K (0.000, 0.000, 0.500)  0.00
K (0.500, 0.500, 0.000)  0.00
Ce (0.000, 0.500, 0.000)  0.69
Ce (0.000, 0.500, 0.500)  0.69
In (0.500, 0.500, 0.500)  0.03
In (0.000, 0.000, 0.000)  0.03
Se (0.212, 0.734, 0.973)  -0.02
Se (0.766, 0.288, 0.527)  -0.02
Se (0.234, 0.712, 0.473)  -0.02
Se (0.788, 0.266, 0.027)  -0.02
Se (0.762, 0.737, 0.963)  0.00
Se (0.763, 0.738, 0.537)  0.00
Se (0.237, 0.262, 0.463)  0.00
Se (0.238, 0.263, 0.037)  0.00


# 13
VNiPt2 | PBE | optimized geometry

Calculated values
- Energy of formation: -486 meV/atom
- Raw total energy: -7.231 eV per atom
- Spin magnetization: 0.0 μB per cell

Lattice parameters (Å, degrees): 4.342 4.682 5.419 90.00 90.00 90.00
Positions (direct):
V (0.750, 0.657, 0.750)
V (0.250, 0.343, 0.250)
Ni (0.750, 0.664, 0.250)
Ni (0.250, 0.336, 0.750)
Pt (0.750, 0.181, 0.999)
Pt (0.250, 0.819, 0.001)
Pt (0.750, 0.181, 0.501)
Pt (0.250, 0.819, 0.499)